(i)
{"formula": "KOs2Pt", "functional": "GGA-PBE", "state": "optimized geometry", "sg": "Pmmm", "lattice_angstrom": [[2.686, 0.000, 0.000], [0.000, 4.895, 0.000], [0.000, 0.000, 5.268]], "species": ["K", "Os", "Os", "Pt"], "fractional_positions": [[0.000, 0.000, 0.000], [0.000, 0.500, 0.500], [0.500, 0.000, 0.500], [0.500, 0.500, 0.000]]}

(ii)
{"formula": "KOs2Pt", "functional": "GGA-PBE", "state": "optimized geometry", "sg": "R-3m", "lattice_angstrom": [[2.760, 0.000, 0.000], [-1.380, 2.390, 0.000], [0.000, 0.000, 31.318]], "species": ["K", "K", "K", "Os", "Os", "Os", "Os", "Os", "Os", "Pt", "Pt", "Pt"], "fractional_positions": [[0.000, 0.000, 0.000], [0.333, 0.667, 0.667], [0.667, 0.333, 0.333], [0.000, 0.000, 0.239], [0.000, 0.000, 0.761], [0.333, 0.667, 0.428], [0.333, 0.667, 0.905], [0.667, 0.333, 0.095], [0.667, 0.333, 0.572], [0.000, 0.000, 0.500], [0.333, 0.667, 0.167], [0.667, 0.333, 0.833]]}

According to the calculations, the structures order from most to least stable as (ii), (i).

(i)
{"formula": "K2RbOs", "functional": "GGA-PBE", "state": "optimized geometry", "sg": "I-42d", "lattice_angstrom": [[9.665, 0.000, 0.000], [0.000, 9.665, 0.000], [0.000, 0.000, 14.305]], "species": ["K", "K", "K", "K", "K", "K", "K", "K", "Rb", "Rb", "Rb", "Rb", "Os", "Os", "Os", "Os"], "fractional_positions": [[0.001, 0.250, 0.125], [0.250, 0.501, 0.375], [0.250, 0.999, 0.875], [0.499, 0.250, 0.625], [0.501, 0.750, 0.625], [0.750, 0.001, 0.875], [0.750, 0.499, 0.375], [0.999, 0.750, 0.125], [0.000, 0.000, 0.500], [0.000, 0.500, 0.750], [0.500, 0.000, 0.250], [0.500, 0.500, 0.000], [0.000, 0.000, 0.000], [0.000, 0.500, 0.250], [0.500, 0.000, 0.750], [0.500, 0.500, 0.500]]}

(ii)
{"formula": "K2RbOs", "functional": "GGA-PBE", "state": "optimized geometry", "sg": "Fm-3m", "lattice_angstrom": [[8.378, 0.000, 0.000], [0.000, 8.378, 0.000], [0.000, 0.000, 8.378]], "species": ["K", "K", "K", "K", "K", "K", "K", "K", "Rb", "Rb", "Rb", "Rb", "Os", "Os", "Os", "Os"], "fractional_positions": [[0.250, 0.250, 0.250], [0.250, 0.250, 0.750], [0.250, 0.750, 0.250], [0.250, 0.750, 0.750], [0.750, 0.250, 0.250], [0.750, 0.250, 0.750], [0.750, 0.750, 0.250], [0.750, 0.750, 0.750], [0.000, 0.000, 0.000], [0.000, 0.500, 0.500], [0.500, 0.000, 0.500], [0.500, 0.500, 0.000], [0.000, 0.000, 0.500], [0.000, 0.500, 0.000], [0.500, 0.000, 0.000], [0.500, 0.500, 0.500]]}

According to the calculations, the structures order from most to least stable as (ii), (i).

(i)
{"formula": "K2Rb2Os", "functional": "GGA-PBE", "state": "optimized geometry", "sg": "P4/mbm", "lattice_angstrom": [[8.750, 0.000, 0.000], [0.000, 8.750, 0.000], [0.000, 0.000, 6.948]], "species": ["K", "K", "K", "K", "Rb", "Rb", "Rb", "Rb", "Os", "Os"], "fractional_positions": [[0.194, 0.306, 0.000], [0.306, 0.806, 0.000], [0.694, 0.194, 0.000], [0.806, 0.694, 0.000], [0.157, 0.657, 0.500], [0.343, 0.157, 0.500], [0.657, 0.843, 0.500], [0.843, 0.343, 0.500], [0.000, 0.000, 0.500], [0.500, 0.500, 0.500]]}

(ii)
{"formula": "K2Rb2Os", "functional": "GGA-PBE", "state": "optimized geometry", "sg": "I4/mmm", "lattice_angstrom": [[5.135, 0.000, 0.000], [0.000, 5.135, 0.000], [0.000, 0.000, 24.040]], "species": ["K", "K", "K", "K", "Rb", "Rb", "Rb", "Rb", "Os", "Os"], "fractional_positions": [[0.000, 0.500, 0.250], [0.000, 0.500, 0.750], [0.500, 0.000, 0.250], [0.500, 0.000, 0.750], [0.000, 0.000, 0.076], [0.000, 0.000, 0.924], [0.500, 0.500, 0.424], [0.500, 0.500, 0.576], [0.000, 0.000, 0.500], [0.500, 0.500, 0.000]]}

According to the calculations, the structures order from most to least stable as (i), (ii).

(i)
{"formula": "K2ReOs", "functional": "GGA-PBE", "state": "optimized geometry", "sg": "Cm", "lattice_angstrom": [[8.177, 0.000, 0.000], [0.000, 3.021, 0.000], [-0.392, 0.000, 9.999]], "species": ["K", "K", "K", "K", "Re", "Re", "Os", "Os"], "fractional_positions": [[0.000, 0.000, 0.000], [0.229, 0.000, 0.571], [0.500, 0.500, 0.000], [0.729, 0.500, 0.571], [0.254, 0.500, 0.249], [0.754, 0.000, 0.249], [0.479, 0.000, 0.325], [0.979, 0.500, 0.325]]}

(ii)
{"formula": "K2ReOs", "functional": "GGA-PBE", "state": "optimized geometry", "sg": "Pmm2", "lattice_angstrom": [[2.816, 0.000, 0.000], [0.000, 4.030, 0.000], [0.000, 0.000, 10.330]], "species": ["K", "K", "Re", "Os"], "fractional_positions": [[0.000, 0.000, 0.000], [0.500, 0.500, 0.428], [0.500, 0.500, 0.750], [0.000, 0.000, 0.674]]}

(iii)
{"formula": "K2ReOs", "functional": "GGA-PBE", "state": "optimized geometry", "sg": "R-3m", "lattice_angstrom": [[2.793, 0.000, 0.000], [-1.396, 2.419, 0.000], [0.000, 0.000, 35.403]], "species": ["K", "K", "K", "K", "K", "K", "Re", "Re", "Re", "Os", "Os", "Os"], "fractional_positions": [[0.000, 0.000, 0.249], [0.000, 0.000, 0.751], [0.333, 0.667, 0.418], [0.333, 0.667, 0.916], [0.667, 0.333, 0.084], [0.667, 0.333, 0.582], [0.000, 0.000, 0.000], [0.333, 0.667, 0.667], [0.667, 0.333, 0.333], [0.000, 0.000, 0.500], [0.333, 0.667, 0.167], [0.667, 0.333, 0.833]]}

According to the calculations, the structures order from most to least stable as (ii), (i), (iii).

(i)
{"formula": "K2ReOs", "functional": "GGA-PBE", "state": "optimized geometry", "sg": "I-42d", "lattice_angstrom": [[3.761, 0.000, 0.000], [0.000, 3.761, 0.000], [0.000, 0.000, 23.848]], "species": ["K", "K", "K", "K", "K", "K", "K", "K", "Re", "Re", "Re", "Re", "Os", "Os", "Os", "Os"], "fractional_positions": [[0.249, 0.250, 0.125], [0.250, 0.749, 0.375], [0.250, 0.751, 0.875], [0.251, 0.250, 0.625], [0.749, 0.750, 0.625], [0.750, 0.249, 0.875], [0.750, 0.251, 0.375], [0.751, 0.750, 0.125], [0.000, 0.000, 0.500], [0.000, 0.500, 0.750], [0.500, 0.000, 0.250], [0.500, 0.500, 0.000], [0.000, 0.000, 0.000], [0.000, 0.500, 0.250], [0.500, 0.000, 0.750], [0.500, 0.500, 0.500]]}

(ii)
{"formula": "K2ReOs", "functional": "GGA-PBE", "state": "optimized geometry", "sg": "Cmmm", "lattice_angstrom": [[2.933, 0.000, 0.000], [0.000, 4.597, 0.000], [0.000, 0.000, 11.819]], "species": ["K", "K", "K", "K", "Re", "Re", "Os", "Os"], "fractional_positions": [[0.000, 0.000, 0.245], [0.000, 0.000, 0.755], [0.500, 0.500, 0.245], [0.500, 0.500, 0.755], [0.000, 0.500, 0.500], [0.500, 0.000, 0.500], [0.000, 0.500, 0.000], [0.500, 0.000, 0.000]]}

(iii)
{"formula": "K2ReOs", "functional": "GGA-PBE", "state": "optimized geometry", "sg": "P4/mmm", "lattice_angstrom": [[3.756, 0.000, 0.000], [0.000, 3.756, 0.000], [0.000, 0.000, 5.796]], "species": ["K", "K", "Re", "Os"], "fractional_positions": [[0.000, 0.500, 0.000], [0.500, 0.000, 0.000], [0.000, 0.000, 0.500], [0.500, 0.500, 0.500]]}

(iv)
{"formula": "K2ReOs", "functional": "GGA-PBE", "state": "optimized geometry", "sg": "P4mm", "lattice_angstrom": [[3.246, 0.000, 0.000], [0.000, 3.246, 0.000], [0.000, 0.000, 10.803]], "species": ["K", "K", "Re", "Os"], "fractional_positions": [[0.000, 0.000, 0.000], [0.500, 0.500, 0.409], [0.500, 0.500, 0.751], [0.000, 0.000, 0.652]]}

According to the calculations, the structures order from most to least stable as (iv), (ii), (iii), (i).

(i)
{"formula": "K2ReOs", "functional": "GGA-PBE", "state": "optimized geometry", "sg": "Cmmm", "lattice_angstrom": [[5.261, 0.000, 0.000], [0.000, 11.588, 0.000], [0.000, 0.000, 2.675]], "species": ["K", "K", "K", "K", "Re", "Re", "Os", "Os"], "fractional_positions": [[0.250, 0.250, 0.000], [0.250, 0.750, 0.000], [0.750, 0.250, 0.000], [0.750, 0.750, 0.000], [0.000, 0.000, 0.500], [0.500, 0.500, 0.500], [0.000, 0.500, 0.500], [0.500, 0.000, 0.500]]}

(ii)
{"formula": "K2ReOs", "functional": "GGA-PBE", "state": "optimized geometry", "sg": "I4/mmm", "lattice_angstrom": [[3.749, 0.000, 0.000], [0.000, 3.749, 0.000], [0.000, 0.000, 11.608]], "species": ["K", "K", "K", "K", "Re", "Re", "Os", "Os"], "fractional_positions": [[0.000, 0.500, 0.250], [0.000, 0.500, 0.750], [0.500, 0.000, 0.250], [0.500, 0.000, 0.750], [0.000, 0.000, 0.000], [0.500, 0.500, 0.500], [0.000, 0.000, 0.500], [0.500, 0.500, 0.000]]}

(iii)
{"formula": "K2ReOs", "functional": "GGA-PBE", "state": "optimized geometry", "sg": "P2/m", "lattice_angstrom": [[2.681, 0.000, 0.000], [0.000, 5.876, 0.000], [-0.739, 0.000, 5.064]], "species": ["K", "K", "Re", "Os"], "fractional_positions": [[0.236, 0.000, 0.252], [0.764, 0.000, 0.748], [0.500, 0.500, 0.000], [0.000, 0.500, 0.500]]}

According to the calculations, the structures order from most to least stable as (iii), (ii), (i).